Entry from Alexandria via LeMat-Bulk: a geometry-optimized MgIr2RhPb structure (PBE).

For the formation enthalpy at 0 K, the calculation gives 535 kJ/mol of formula units.

a b c (Å): 4.6117 4.6117 4.5244
angles (deg): 90.00 90.00 90.00
Element x y z (fractional)
Mg  0.0000  0.0000  0.0000
Ir  0.0000  0.5000  0.0000
Ir  0.5000  0.0000  0.0000
Rh  0.0000  0.0000  0.5000
Pb  0.5000  0.5000  0.5000